Density functional theory data (PBE) for a relaxed structure of PmSi2Ir2. Values from VASP.

Cell and atoms, written as Quantum ESPRESSO input:
```
&SYSTEM
  ibrav = 0, nat = 10, ntyp = 3
/
ATOMIC_SPECIES
Pm 145.00 Pm.upf
Si 28.09 Si.upf
Ir 192.22 Ir.upf
ATOMIC_POSITIONS angstrom
Pm 0.0000 0.0000 2.4542
Pm 0.0000 0.0000 17.4239
Si 2.0899 0.0000 4.9695
Si 0.0000 0.0000 8.5764
Si 0.0000 0.0000 11.3018
Si 0.0000 2.0899 4.9695
Ir 2.0899 0.0000 0.0000
Ir 0.0000 0.0000 6.1964
Ir 0.0000 2.0899 0.0000
Ir 0.0000 0.0000 13.6818
CELL_PARAMETERS angstrom
-2.0899 2.0899 9.9391
2.0899 -2.0899 9.9391
2.0899 2.0899 -9.9391
```

Total moment (μB/cell): 0.00
V (Å³/cell): 173.6
Fermi-level density of states (states/eV per cell): 5.4
Energy relative to the elements, uncorrected (kJ/mol of atoms): -96
E above lowest polymorph (eV/atom): 0.075
Space group: No. 139